## MnNi2SeO6 (PBE+U)

Data for a relaxed MnNi2SeO6 crystal.

Lattice parameters (Å, degrees): 5.446 5.446 4.640 90.00 90.00 90.00
Space group P4mm (No. 99)
Unique sites:
Mn 0.000 0.000 0.000
Ni 0.000 0.500 0.185
Se 0.500 0.500 0.939
O 0.000 0.000 0.635
O 0.241 0.241 0.107
O 0.500 0.500 0.588

Results
The density of states at the Fermi level comes out at 0.88 states/eV per cell. The calculated density comes out at 4.2 g/cm3. The total energy comes out at -50.80 eV per cell. The value obtained for the spin magnetization is 3.00 μB per formula unit.